Entry 1:
The following is a DFT calculation (PBE) of an optimized crystal structure of LaSb2IrI.

Output
For the energy relative to the elements, uncorrected, the calculation gives -108 meV/atom.

Lattice parameters (Å, degrees): 5.1928 5.1928 5.5541 90.00 90.00 90.00
Last column: nearest neighbours and their distance in Å.
Space group P4/mmm (No. 123)
Asymmetric unit:
La 0.0000 0.0000 0.0000 [1 per cell]  4 I 3.67, 8 Sb 3.80
Sb 0.0000 0.5000 0.5000 [2 per cell]  2 Ir 2.60
Ir 0.5000 0.5000 0.5000 [1 per cell]  4 Sb 2.60, 2 I 2.78
I 0.5000 0.5000 0.0000 [1 per cell]  2 Ir 2.78


Entry 2:
The following is a DFT calculation (PBE) of an optimized crystal structure of Tb6Ho3Tm2Zr.

Output
For the formation energy, the calculation gives 0.04 eV/atom.

Lattice parameters (Å, degrees): 6.0745 10.5006 11.5947 90.00 99.95 90.00
Last column: nearest neighbours and their distance in Å.
Space group C2/m (No. 12)
Asymmetric unit:
Tb 0.2452 0.1637 0.2444 [8 per cell]  1 Zr 3.43, 6 Tb 3.44-3.54, 2 Tm 3.46, 3 Ho 3.54-3.57
Tb 0.2456 0.0000 0.7563 [4 per cell]  1 Zr 3.42, 6 Tb 3.44-3.54, 2 Tm 3.45, 3 Ho 3.55-3.58
Ho 0.0000 0.1665 0.5000 [4 per cell]  6 Ho 3.50-3.51, 6 Tb 3.54-3.57
Ho 0.0000 0.5000 0.5000 [2 per cell]  6 Ho 3.50, 6 Tb 3.54-3.58
Tm 0.0000 0.3330 0.0000 [4 per cell]  6 Tb 3.45-3.46, 3 Zr 3.50-3.51, 3 Tm 3.50-3.51
Zr 0.0000 0.0000 0.0000 [2 per cell]  6 Tb 3.42-3.43, 6 Tm 3.50-3.51


Entry 3:
The following is a DFT calculation (PBE) of an optimized crystal structure of TbPr4Dy2Y2.

Output
For the formation energy, the calculation gives 0.02 eV/atom.

Lattice parameters (Å, degrees): 15.4219 5.1277 8.1045 90.00 108.42 90.00
Last column: nearest neighbours and their distance in Å.
Space group C2/m (No. 12)
Asymmetric unit:
Tb 0.0000 0.0000 0.0000 [2 per cell]  2 Dy 3.61, 6 Pr 3.62-3.64, 4 Y 3.63
Pr 0.0539 0.5000 0.3318 [4 per cell]  4 Dy 3.61-3.65, 2 Y 3.61-3.64, 4 Pr 3.61-3.65, 2 Tb 3.62
Pr 0.2229 0.0000 0.3331 [4 per cell]  3 Y 3.61-3.63, 5 Pr 3.63-3.65, 3 Dy 3.63-3.65, 1 Tb 3.64
Dy 0.1109 0.0000 0.6688 [4 per cell]  7 Pr 3.61-3.65, 1 Tb 3.61, 3 Y 3.61-3.62, 1 Dy 3.64
Y 0.1670 0.5000 0.9995 [4 per cell]  5 Pr 3.61-3.64, 3 Dy 3.61-3.62, 2 Y 3.62, 2 Tb 3.63


Entry 4:
The following is a DFT calculation (PBE) of an optimized crystal structure of GdTmAg4.

Output
For the formation energy, the calculation gives -0.17 eV/atom.

Lattice parameters (Å, degrees): 8.0563 8.0563 8.0563 90.00 90.00 90.00
Last column: nearest neighbours and their distance in Å.
Space group F-43m (No. 216)
Asymmetric unit:
Gd 0.0000 0.0000 0.0000 [4 per cell]  12 Ag 3.34, 4 Tm 3.49
Tm 0.2500 0.2500 0.7500 [4 per cell]  12 Ag 3.34, 4 Gd 3.49
Ag 0.1248 0.1248 0.3752 [16 per cell]  6 Ag 2.84-2.85


Entry 5:
The following is a DFT calculation (PBE) of an optimized crystal structure of In2Sn4Hg5.

Output
For the formation energy, the calculation gives 0.06 eV/atom.

Lattice parameters (Å, degrees): 3.1516 10.6506 19.0420 90.00 90.00 90.00
Last column: nearest neighbours and their distance in Å.
Space group Immm (No. 71)
Asymmetric unit:
In 0.0000 0.0000 0.2481 [4 per cell]  2 Hg 2.97, 1 Sn 3.10, 2 In 3.15
Sn 0.0000 0.0000 0.4108 [4 per cell]  1 In 3.10, 7 Sn 3.15-3.40
Sn 0.0000 0.2686 0.0000 [4 per cell]  4 Hg 3.14-3.27, 6 Sn 3.15-3.38
Hg 0.0000 0.2343 0.1639 [8 per cell]  1 In 2.97, 1 Sn 3.14, 2 Hg 3.15
Hg 0.0000 0.5000 0.5000 [2 per cell]  2 Hg 3.15, 4 Sn 3.27


Entry 6:
The following is a DFT calculation (PBE) of an optimized crystal structure of Pr3PbSCl.

Output
For the energy relative to the elements, uncorrected, the calculation gives -1330 meV/atom.

Lattice parameters (Å, degrees): 8.2833 4.2469 10.5822 90.00 109.30 90.00
Last column: nearest neighbours and their distance in Å.
Space group P2_1/m (No. 11)
Asymmetric unit:
Pr 0.1646 0.2500 0.1608 [2 per cell]  3 S 2.81-2.90, 1 Cl 2.94
Pr 0.2983 0.7500 0.5047 [2 per cell]  2 Cl 2.94
Pr 0.3140 0.7500 0.8920 [2 per cell]  2 S 2.82
Pb 0.4860 0.7500 0.2574 [2 per cell]  8 Pr 3.29-3.65
S 0.0853 0.2500 0.8812 [2 per cell]  5 Pr 2.81-2.90
Cl 0.0458 0.2500 0.3939 [2 per cell]  3 Pr 2.94


Entry 7:
The following is a DFT calculation (PBE) of an optimized crystal structure of Tb2EuCd.

Output
For the formation energy, the calculation gives 0.00 eV/atom.

Lattice parameters (Å, degrees): 7.8110 7.8110 7.8110 90.00 90.00 90.00
Last column: nearest neighbours and their distance in Å.
Space group Fm-3m (No. 225)
Asymmetric unit:
Tb 0.2500 0.2500 0.2500 [8 per cell]  4 Cd 3.38, 4 Eu 3.38
Eu 0.0000 0.0000 0.0000 [4 per cell]  8 Tb 3.38
Cd 0.0000 0.0000 0.5000 [4 per cell]  8 Tb 3.38


Entry 8:
The following is a DFT calculation (PBE) of an optimized crystal structure of AlSb2W.

Output
For the energy relative to the elements, uncorrected, the calculation gives 739 meV/atom.

Lattice parameters (Å, degrees): 3.5688 4.5684 5.0043 90.00 90.00 90.00
Last column: nearest neighbours and their distance in Å.
Space group Pmmm (No. 47)
Asymmetric unit:
Al 0.0000 0.0000 0.0000 [1 per cell]  4 Sb 2.90, 4 W 3.07
Sb 0.0000 0.5000 0.5000 [1 per cell]  4 W 2.90, 4 Sb 3.07
Sb 0.5000 0.5000 0.0000 [1 per cell]  4 Al 2.90, 4 Sb 3.07
W 0.5000 0.0000 0.5000 [1 per cell]  4 Sb 2.90, 4 Al 3.07


Please write out number 8 again, unchanged.
The following is a DFT calculation (PBE) of an optimized crystal structure of AlSb2W.

Output
For the energy relative to the elements, uncorrected, the calculation gives 739 meV/atom.

Lattice parameters (Å, degrees): 3.5688 4.5684 5.0043 90.00 90.00 90.00
Last column: nearest neighbours and their distance in Å.
Space group Pmmm (No. 47)
Asymmetric unit:
Al 0.0000 0.0000 0.0000 [1 per cell]  4 Sb 2.90, 4 W 3.07
Sb 0.0000 0.5000 0.5000 [1 per cell]  4 W 2.90, 4 Sb 3.07
Sb 0.5000 0.5000 0.0000 [1 per cell]  4 Al 2.90, 4 Sb 3.07
W 0.5000 0.0000 0.5000 [1 per cell]  4 Sb 2.90, 4 Al 3.07